PtC2Br at its PBEsol-relaxed geometry. Source: Alexandria via LeMat-Bulk, functional SCAN.

a b c (Å): 4.0620 4.0620 4.0620
angles (deg): 60.00 60.00 60.00
With the nearest neighbours (Å) after each atom.
Sites, in units of the cell vectors:
C 0.2500 0.2500 0.2500  4 Br 2.49, 4 Pt 2.49
C 0.7500 0.7500 0.7500  4 Pt 2.49, 4 Br 2.49
Br 0.0000 0.0000 0.0000  8 C 2.49
Pt 0.5000 0.5000 0.5000  8 C 2.49


SrMnCu2Se at its PBEsol-relaxed geometry. Source: Alexandria via LeMat-Bulk, functional SCAN.

a b c (Å): 5.0507 5.0507 5.5273
angles (deg): 90.00 90.00 90.00
With the nearest neighbours (Å) after each atom.
Sites, in units of the cell vectors:
Sr 0.0000 0.0000 0.0000  4 Cu 2.53, 2 Se 2.76
Mn 0.5000 0.5000 0.5000  4 Se 3.57, 8 Cu 3.74
Cu 0.0000 0.5000 0.0000  2 Sr 2.53
Cu 0.5000 0.0000 0.0000  2 Sr 2.53
Se 0.0000 0.0000 0.5000  2 Sr 2.76


TiBeCoF2 at its PBEsol-relaxed geometry. Source: Alexandria via LeMat-Bulk, functional SCAN.

a b c (Å): 3.2096 3.2096 8.0563
angles (deg): 90.00 90.00 90.00
With the nearest neighbours (Å) after each atom.
Sites, in units of the cell vectors:
Be 0.0000 0.0000 0.0000  4 F 1.60
F 0.0000 0.5000 0.0000  2 Be 1.60
F 0.5000 0.0000 0.0000  2 Be 1.60
Co 0.5000 0.5000 0.5000  4 Ti 2.27
Ti 0.0000 0.0000 0.5000  4 Co 2.27


no.,formation energy (no corrections) (eV/atom)
1,2.975
2,1.031
3,-1.163